# Rb2U3GaS8 (PBE-GGA, relaxed)
data_Rb2U3GaS8
_cell_length_a 8.076
_cell_length_b 8.076
_cell_length_c 9.335
_cell_angle_alpha 64.37
_cell_angle_beta 64.37
_cell_angle_gamma 60.00
_space_group_name_H-M_alt 'P 1'
_space_group_IT_number 1
loop_
_space_group_symop_operation_xyz
'x,y,z'
loop_
_atom_site_label
_atom_site_type_symbol
_atom_site_fract_x
_atom_site_fract_y
_atom_site_fract_z
Rb1 Rb 0.135 0.135 0.595
Rb2 Rb 0.497 0.497 0.509
U1 U 0.497 0.998 0.008
U2 U 0.998 0.497 0.008
U3 U 0.497 0.497 0.008
Ga1 Ga 0.894 0.894 0.318
S1 S 0.272 0.272 0.185
S2 S 0.721 0.721 0.836
S3 S 0.238 0.238 0.834
S4 S 0.690 0.238 0.834
S5 S 0.238 0.690 0.834
S6 S 0.763 0.289 0.185
S7 S 0.289 0.763 0.185
S8 S 0.763 0.763 0.185
# - SG: R3m, No. 160
# - Uncorrected formation energy: -1666 kJ/mol of formula units
# - N(E_F): 14.527 states/eV per cell